No. 1
First-principles (PBE) data for an optimized crystal structure of TaAlHAu, as listed in Alexandria via LeMat-Bulk.

Calculated values
- Distance to the lowest polymorph of the same formula: 66 meV per atom
- V: 55.2 Å³ per cell
- Total magnetic moment: 0.00 μB per formula unit
- Space group: P3m1

a b c (Å): 3.010 3.010 7.031
angles (deg): 90.00 90.00 120.00
Positions (direct):
Ta  0.000  0.000  0.000
Al  0.667  0.333  0.321
H  0.667  0.333  0.889
Au  0.333  0.667  0.623


No. 2
First-principles (PBE) data for an optimized crystal structure of TiAlHAu2, as listed in Alexandria via LeMat-Bulk.

Calculated values
- V: 71.5 Å³ per cell
- Total magnetic moment: 0.00 μB per formula unit
- Energy: -22.34 eV per formula unit
- Space group: P4/mmm

a b c (Å): 4.489 4.489 3.549
angles (deg): 90.00 90.00 90.00
Positions (direct):
Ti  0.000  0.000  0.000
Al  0.500  0.500  0.000
H  0.000  0.000  0.500
Au  0.000  0.500  0.500
Au  0.500  0.000  0.500